(1)
An optimized crystal structure of BaPW2. Source: Alexandria via LeMat-Bulk, functional PBE.

```
BaPW2
1.0
-2.0356 2.0356 5.2544
2.0356 -2.0356 5.2544
2.0356 2.0356 -5.2544
Ba P W
1 1 2
direct
0.0000 0.0000 0.0000
0.5000 0.5000 0.0000
0.2500 0.7500 0.5000
0.7500 0.2500 0.5000
```

## Properties
total magnetic moment	0.000	μB per atom
energy of formation	578	kJ/mol of formula units

(2)
An optimized crystal structure of BaPW2. Source: Alexandria via LeMat-Bulk, functional PBE.

```
BaPW2
1.0
-1.5647 3.0875 4.9219
1.5647 -3.0875 4.9219
1.5647 3.0875 -4.9219
Ba P W
1 1 2
direct
0.0000 0.0000 0.0000
0.7240 0.2240 0.5000
0.3284 0.8284 0.5000
0.5292 0.5292 0.0000
```

## Properties
total magnetic moment	0.102	μB per atom
energy of formation	377	kJ/mol of formula units

(3)
An optimized crystal structure of BaP2W. Source: Alexandria via LeMat-Bulk, functional PBE.

```
BaP2W
1.0
5.1603 0.0000 0.0000
0.0000 5.1603 0.0000
0.0000 0.0000 3.0283
Ba P W
1 2 1
direct
0.0000 0.0000 0.0000
0.0000 0.5000 0.5000
0.5000 0.0000 0.5000
0.5000 0.5000 0.0000
```

## Properties
total magnetic moment	0.000	μB per atom
energy above the most stable polymorph in this dataset	1.072	eV/atom
energy of formation	264	kJ/mol of formula units

(4)
An optimized crystal structure of BaPW2. Source: Alexandria via LeMat-Bulk, functional PBE.

```
BaPW2
1.0
4.2189 0.0000 0.0000
0.0000 4.4843 0.0000
-0.8610 0.0000 4.9313
Ba P W
1 1 2
direct
0.0000 0.0000 0.0000
0.5000 0.0000 0.5000
0.3118 0.5000 0.6477
0.6882 0.5000 0.3523
```

## Properties
total magnetic moment	0.000	μB per atom
energy of formation	278	kJ/mol of formula units

Number 1: volume 21.8 Å³/atom. Number 2: volume 23.8 Å³/atom. Number 3: volume 20.2 Å³/atom. Number 4: volume 23.3 Å³/atom.